This record from Alexandria describes a geometry-optimized MgMnSb2 structure. The functional is PBE-GGA.

Cell: 3.201 4.140 14.281 Å, 90.00 90.00 90.00°
Fractional positions:
Mg  0.000  0.000  0.000
Mg  0.500  0.500  0.500
Mn  0.000  0.500  0.730
Mn  0.500  0.000  0.230
Sb  0.000  0.000  0.391
Sb  0.000  0.500  0.158
Sb  0.500  0.000  0.658
Sb  0.500  0.500  0.891

E_form (uncorrected): 0.0204 eV per atom
Total moment: 7.09 μB/cell
Theoretical density: 5665 kg/m3


This record from Alexandria describes a geometry-optimized Mg6MnSb structure. The functional is PBE-GGA.

Cell: 4.968 6.355 10.914 Å, 90.00 90.00 90.00°
Fractional positions:
Mg  0.000  0.000  0.000
Mg  0.000  0.240  0.254
Mg  0.000  0.260  0.754
Mg  0.000  0.500  0.500
Mg  0.000  0.740  0.754
Mg  0.000  0.760  0.254
Mg  0.500  0.000  0.165
Mg  0.500  0.243  0.420
Mg  0.500  0.257  0.920
Mg  0.500  0.500  0.665
Mg  0.500  0.743  0.920
Mg  0.500  0.757  0.420
Mn  0.000  0.000  0.497
Mn  0.000  0.500  0.997
Sb  0.500  0.000  0.661
Sb  0.500  0.500  0.161

E_form (uncorrected): 0.0363 eV per atom
Total moment: 7.47 μB/cell
Theoretical density: 3108 kg/m3


This record from Alexandria describes a geometry-optimized Mg4MnSb structure. The functional is PBE-GGA.

Cell: 5.759 5.759 5.759 Å, 60.00 60.00 60.00°
Fractional positions:
Mg  0.124  0.124  0.124
Mg  0.124  0.124  0.627
Mg  0.124  0.627  0.124
Mg  0.627  0.124  0.124
Mn  0.750  0.750  0.750
Sb  0.500  0.500  0.500

E_form (uncorrected): 0.2861 eV per atom
Total moment: 3.98 μB/cell
Theoretical density: 3368 kg/m3


This record from Alexandria describes a geometry-optimized MgMnSb structure. The functional is PBE-GGA.

Cell: 3.238 3.238 6.827 Å, 90.00 90.00 120.00°
Fractional positions:
Mg  0.000  0.000  0.000
Mn  0.667  0.333  0.313
Sb  0.333  0.667  0.616

E_form (uncorrected): 0.2162 eV per atom
Total moment: 3.23 μB/cell
Theoretical density: 5383 kg/m3


This record from Alexandria describes a geometry-optimized MgMnSb2 structure. The functional is PBE-GGA.

Cell: 4.754 4.826 7.624 Å, 90.00 90.00 90.00°
Fractional positions:
Mg  0.000  0.000  0.000
Mg  0.500  0.500  0.000
Mn  0.000  0.000  0.500
Mn  0.500  0.500  0.500
Sb  0.000  0.500  0.284
Sb  0.000  0.500  0.716
Sb  0.500  0.000  0.284
Sb  0.500  0.000  0.716

E_form (uncorrected): 0.0838 eV per atom
Total moment: 6.10 μB/cell
Theoretical density: 6128 kg/m3


This record from Alexandria describes a geometry-optimized Mg2Mn2Sb structure. The functional is PBE-GGA.

Cell: 3.226 3.226 17.765 Å, 90.00 90.00 90.00°
Fractional positions:
Mg  0.000  0.000  0.123
Mg  0.000  0.000  0.877
Mg  0.500  0.500  0.377
Mg  0.500  0.500  0.623
Mn  0.000  0.500  0.250
Mn  0.000  0.500  0.750
Mn  0.500  0.000  0.250
Mn  0.500  0.000  0.750
Sb  0.000  0.000  0.500
Sb  0.500  0.500  0.000

E_form (uncorrected): 0.3027 eV per atom
Total moment: 0.00 μB/cell
Theoretical density: 5035 kg/m3